Entry 1:
A plane-wave DFT calculation with GGA-PBE was carried out for Y2SiAg2Sn after structural relaxation.

Uncorrected energy, eV per atom: -5.104

a = 11.4077 Å, b = 4.6686 Å, c = 11.4222 Å
α = 90.00°, β = 109.50°, γ = 90.00°
With the nearest neighbours (Å) after each atom.
Element x y z (fractional)
Ag1 0.3737 0.5000 0.1251  4 Sn 2.86-2.88, 4 Y 2.92-2.94
Ag2 0.7607 0.0000 0.2558  2 Si 2.74-2.86, 4 Y 2.81-2.91, 2 Sn 2.91
Ag3 0.1162 0.5000 0.3655  2 Si 2.80, 4 Y 2.81-2.89, 2 Sn 2.92
Ag4 0.5065 0.0000 0.5105  2 Si 2.76-2.82, 4 Y 2.82-2.90, 2 Sn 2.92
Ag5 0.8706 0.5000 0.6274  4 Y 2.77-2.84, 3 Si 2.81-2.84, 1 Sn 2.92
Ag6 0.2558 0.0000 0.7481  1 Si 2.80, 4 Y 2.85-2.98, 3 Sn 2.88-2.89
Ag7 0.6286 0.5000 0.8714  4 Y 2.77-2.84, 3 Si 2.77-2.85, 1 Sn 2.93
Ag8 0.9916 0.0000 0.9972  4 Y 2.78-2.84, 3 Si 2.83-2.84, 1 Sn 2.94
Si1 0.9982 0.0000 0.2477  4 Ag 2.74-2.84
Si2 0.7510 0.0000 0.5029  4 Ag 2.82-2.86
Si3 0.5016 0.0000 0.7503  4 Ag 2.76-2.85
Si4 0.8724 0.5000 0.8737  4 Ag 2.77-2.83
Sn1 0.6270 0.5000 0.1270  4 Ag 2.88-2.93
Sn2 0.3751 0.5000 0.3756  4 Ag 2.86-2.92
Sn3 0.1252 0.5000 0.6238  4 Ag 2.88-2.92
Sn4 0.2496 0.0000 0.9992  4 Ag 2.86-2.94
Y1 0.1143 0.5000 0.1188  4 Ag 2.81-2.94
Y2 0.5079 0.0000 0.2583  4 Ag 2.89-2.92, 1 Si 3.21
Y3 0.8745 0.5000 0.3802  4 Ag 2.81-2.84
Y4 0.2474 0.0000 0.4938  4 Ag 2.87-2.90
Y5 0.6278 0.5000 0.6287  4 Ag 2.77-2.82
Y6 0.9947 0.0000 0.7493  4 Ag 2.84-2.98
Y7 0.3811 0.5000 0.8721  4 Ag 2.83-2.92
Y8 0.7482 0.0000 0.9976  4 Ag 2.78-2.91

Entry 2:
A plane-wave DFT calculation with GGA-PBE was carried out for KGdMg after structural relaxation.

Uncorrected energy, eV per atom: -1.555

a = 5.6888 Å, b = 5.6888 Å, c = 5.6888 Å
α = 60.00°, β = 60.00°, γ = 60.00°
With the nearest neighbours (Å) after each atom.
Element x y z (fractional)
Gd1 0.0000 0.0000 0.0000  4 Mg 3.48, 4 K 3.48
K1 0.2500 0.2500 0.2500  4 Gd 3.48
Mg1 0.7500 0.7500 0.7500  4 Gd 3.48

Entry 3:
A plane-wave DFT calculation with GGA-PBE was carried out for NdScPt after structural relaxation.

Calculated formation energy, eV/atom: 0.010
Offset from the most stable computed form, eV per formula unit: 2.72
Uncorrected energy, eV per atom: -5.706

a = 4.7191 Å, b = 4.7191 Å, c = 4.7191 Å
α = 60.00°, β = 60.00°, γ = 60.00°
With the nearest neighbours (Å) after each atom.
Element x y z (fractional)
Nd1 0.0000 0.0000 0.0000  4 Sc 2.89, 4 Pt 2.89
Pt1 0.2500 0.2500 0.2500  4 Nd 2.89
Sc1 0.7500 0.7500 0.7500  4 Nd 2.89

Entry 4:
A plane-wave DFT calculation with GGA-PBE was carried out for Y2H6PdPt after structural relaxation.

Uncorrected energy, eV per atom: -4.906

a = 5.2375 Å, b = 5.2375 Å, c = 5.2375 Å
α = 60.00°, β = 60.00°, γ = 60.00°
With the nearest neighbours (Å) after each atom.
Element x y z (fractional)
H1 0.7524 0.2476 0.2476  1 Pt 1.83, 1 Pd 1.87
H2 0.2476 0.7524 0.2476  1 Pt 1.83, 1 Pd 1.87
H3 0.7524 0.7524 0.2476  1 Pt 1.83, 1 Pd 1.87
H4 0.2476 0.2476 0.7524  1 Pt 1.83, 1 Pd 1.87
H5 0.7524 0.2476 0.7524  1 Pt 1.83, 1 Pd 1.87
H6 0.2476 0.7524 0.7524  1 Pt 1.83, 1 Pd 1.87
Pd1 0.5000 0.5000 0.5000  6 H 1.87
Pt1 0.0000 0.0000 0.0000  6 H 1.83
Y1 0.2500 0.2500 0.2500  12 H 2.62
Y2 0.7500 0.7500 0.7500  12 H 2.62

Entry 5:
A plane-wave DFT calculation with GGA-PBE was carried out for YHoBiO2 after structural relaxation.

Uncorrected energy, eV per atom: -7.687

a = 7.2391 Å, b = 7.2391 Å, c = 7.2391 Å
α = 149.08°, β = 149.08°, γ = 44.29°
With the nearest neighbours (Å) after each atom.
Element x y z (fractional)
Bi1 0.0003 0.0003 0.0000  4 Y 3.53, 4 Ho 3.54, 8 O 3.85-3.88, 4 Bi 3.86
Ho1 0.6685 0.6685 0.0000  4 O 2.21
O1 0.7490 0.2490 0.5000  2 Ho 2.21, 2 Y 2.24
O2 0.2490 0.7490 0.5000  2 Ho 2.21, 2 Y 2.24
Y1 0.3332 0.3332 0.0000  4 O 2.24

Entry 6:
A plane-wave DFT calculation with GGA-PBE was carried out for Cu9Ag after structural relaxation.

Calculated formation energy, eV/atom: 0.041
Offset from the most stable computed form, eV per formula unit: 0.05
Uncorrected energy, eV per atom: -3.586

a = 4.5028 Å, b = 5.2312 Å, c = 5.7713 Å
α = 76.89°, β = 75.32°, γ = 72.94°
With the nearest neighbours (Å) after each atom.
Element x y z (fractional)
Ag1 0.0000 0.0000 0.0000  12 Cu 2.62-2.66
Cu1 0.0000 0.5000 0.0000  10 Cu 2.55-2.63, 2 Ag 2.62
Cu2 0.4128 0.5921 0.2007  11 Cu 2.55-2.67, 1 Ag 2.64
Cu3 0.3969 0.1042 0.2091  10 Cu 2.52-2.71, 2 Ag 2.63
Cu4 0.7978 0.6936 0.4060  11 Cu 2.52-2.67, 1 Ag 2.64
Cu5 0.7980 0.2027 0.4110  11 Cu 2.53-2.67, 1 Ag 2.66
Cu6 0.2020 0.7973 0.5890  11 Cu 2.53-2.67, 1 Ag 2.66
Cu7 0.2022 0.3064 0.5940  11 Cu 2.52-2.67, 1 Ag 2.64
Cu8 0.6031 0.8958 0.7909  10 Cu 2.52-2.71, 2 Ag 2.63
Cu9 0.5872 0.4079 0.7993  11 Cu 2.55-2.67, 1 Ag 2.64

Entry 7:
A plane-wave DFT calculation with GGA-PBE was carried out for LiPaRe after structural relaxation.

Offset from the most stable computed form, eV per formula unit: 1.09
Uncorrected energy, eV per atom: -6.971

a = 4.4596 Å, b = 4.4596 Å, c = 4.4596 Å
α = 60.00°, β = 60.00°, γ = 60.00°
With the nearest neighbours (Å) after each atom.
Element x y z (fractional)
Li1 0.2500 0.2500 0.2500  4 Pa 2.73
Pa1 0.0000 0.0000 0.0000  4 Li 2.73, 4 Re 2.73
Re1 0.7500 0.7500 0.7500  4 Pa 2.73

Entry 8:
A plane-wave DFT calculation with GGA-PBE was carried out for Li2LuOs after structural relaxation.

Uncorrected energy, eV per atom: -4.730

a = 4.5645 Å, b = 4.5645 Å, c = 4.5645 Å
α = 60.00°, β = 60.00°, γ = 60.00°
With the nearest neighbours (Å) after each atom.
Element x y z (fractional)
Li1 0.0000 0.0000 0.0000  4 Os 2.80, 4 Li 2.80
Li2 0.2500 0.2500 0.2500  4 Li 2.80, 4 Lu 2.80
Lu1 0.5000 0.5000 0.5000  4 Os 2.80, 4 Li 2.80
Os1 0.7500 0.7500 0.7500  4 Lu 2.80, 4 Li 2.80

no.,calculated volume (Å³/atom)
1,23.89
2,43.39
3,24.77
4,10.16
5,19.97
6,12.40
7,20.91
8,16.81